Model P:
Density functional theory data (PBE) for an optimized crystal structure of Tc2NiAs.

Summary:
Total magnetization ... 0.000 μB/atom

```
Tc2NiAs
1.0
-2.731 -0.189 1.053
1.062 -0.130 2.731
-0.283 6.410 0.415
As Ni Tc
1 1 2
direct
0.000 0.000 0.523 As
0.500 0.500 0.722 Ni
0.000 0.000 0.000 Tc
0.500 0.500 0.256 Tc
```

=====

Model Q:
Density functional theory data (PBE) for an optimized crystal structure of Tc2NiAs.

Summary:
Total magnetization ... 0.214 μB/atom

```
Tc2NiAs
1.0
5.553 0.000 0.000
0.000 5.553 0.000
2.776 2.776 5.097
Ni As Tc
2 2 4
direct
0.500 0.500 0.000 Ni
0.250 0.750 0.500 Ni
0.000 0.000 0.000 As
0.750 0.250 0.500 As
0.606 0.125 0.250 Tc
0.144 0.625 0.250 Tc
0.375 0.394 0.750 Tc
0.875 0.856 0.750 Tc
```

=====

Relative energies, in eV/atom, with the most stable structure set to zero: model P 0.000; model Q 0.952.

=====

Model P:
Density functional theory data (PBE) for an optimized crystal structure of Tc2NiAs.

Summary:
Total magnetization ... 0.000 μB/atom

```
Tc2NiAs
1.0
4.451 0.007 0.052
3.547 2.689 0.052
0.958 0.323 4.697
As Ni Tc
1 1 2
direct
0.250 0.250 0.250 As
0.750 0.750 0.750 Ni
0.996 0.996 0.986 Tc
0.504 0.504 0.514 Tc
```

=====

Model Q:
Density functional theory data (PBE) for an optimized crystal structure of Tc2NiAs.

Summary:
Total magnetization ... 0.000 μB/atom

```
Tc2NiAs
1.0
4.269 0.000 0.000
0.000 4.269 0.000
0.000 0.000 2.960
As Ni Tc
1 1 2
direct
0.500 0.000 0.500 As
0.000 0.500 0.500 Ni
0.000 0.000 0.000 Tc
0.500 0.500 0.000 Tc
```

=====

Relative energies, in eV/atom, with the most stable structure set to zero: model P 0.133; model Q 0.000.

=====

Model P:
Density functional theory data (PBE) for an optimized crystal structure of Tc2NiAs2.

Summary:
Total magnetization ... 0.000 μB/atom

```
Tc2NiAs2
1.0
-1.728 1.845 -2.683
-1.901 -3.037 -0.865
-6.052 0.972 2.035
Ni As Tc
1 2 2
direct
0.000 0.000 0.000 Ni
0.750 0.250 0.500 As
0.250 0.750 0.500 As
0.395 0.395 0.211 Tc
0.605 0.605 0.789 Tc
```

=====

Model Q:
Density functional theory data (PBE) for an optimized crystal structure of Tc2NiAs2.

Summary:
Total magnetization ... 0.063 μB/atom

```
Tc2NiAs2
1.0
6.938 0.000 0.000
0.000 6.938 0.000
0.000 0.000 3.106
Ni As Tc
2 4 4
direct
0.000 0.000 0.000 Ni
0.500 0.500 0.000 Ni
0.156 0.656 0.500 As
0.656 0.844 0.500 As
0.844 0.344 0.500 As
0.344 0.156 0.500 As
0.357 0.857 0.000 Tc
0.857 0.643 0.000 Tc
0.643 0.143 0.000 Tc
0.143 0.357 0.000 Tc
```

=====

Model R:
Density functional theory data (PBE) for an optimized crystal structure of Tc2NiAs2.

Summary:
Total magnetization ... 0.000 μB/atom

```
Tc2NiAs2
1.0
-3.431 -2.532 -5.536
5.327 -4.324 -1.324
-1.267 -2.094 1.743
Ni As Tc
2 4 4
direct
0.000 0.000 0.000 Ni
0.500 0.500 0.000 Ni
0.347 0.847 0.000 As
0.847 0.653 0.000 As
0.653 0.153 0.000 As
0.153 0.347 0.000 As
0.147 0.647 0.500 Tc
0.647 0.853 0.500 Tc
0.853 0.353 0.500 Tc
0.353 0.147 0.500 Tc
```

=====

Relative energies, in eV/atom, with the most stable structure set to zero: model P 0.305; model Q 0.000; model R 0.007.

=====

Model P:
Density functional theory data (PBE) for an optimized crystal structure of TcNiAs4.

Summary:
Total magnetization ... 0.096 μB/atom

```
TcNiAs4
1.0
0.000 3.745 3.745
3.745 0.000 3.745
3.745 3.745 0.000
Tc Ni As
1 1 4
direct
0.000 0.000 0.000 Tc
0.750 0.750 0.750 Ni
0.876 0.375 0.375 As
0.375 0.375 0.876 As
0.375 0.876 0.375 As
0.375 0.375 0.375 As
```

=====

Model Q:
Density functional theory data (PBE) for an optimized crystal structure of TcNiAs4.

Summary:
Total magnetization ... 0.000 μB/atom

```
TcNiAs4
1.0
-4.780 -0.253 -1.249
0.205 -6.421 0.515
-1.416 0.449 6.164
Tc Ni As
2 2 8
direct
0.500 0.000 0.500 Tc
0.000 0.500 0.500 Tc
0.000 0.000 0.000 Ni
0.500 0.500 0.000 Ni
0.949 0.639 0.135 As
0.551 0.139 0.865 As
0.485 0.368 0.358 As
0.015 0.868 0.642 As
0.051 0.361 0.865 As
0.449 0.861 0.135 As
0.515 0.632 0.642 As
0.985 0.132 0.358 As
```

=====

Relative energies, in eV/atom, with the most stable structure set to zero: model P 0.948; model Q 0.000.

=====

Model P:
Density functional theory data (PBE) for an optimized crystal structure of Ni2TeAs2.

Summary:
Total magnetization ... 0.000 μB/atom

```
Ni2TeAs2
1.0
3.928 0.000 0.000
0.000 3.928 0.000
1.964 1.964 5.564
Ni As Te
2 2 1
direct
0.386 0.386 0.229 Ni
0.614 0.614 0.771 Ni
0.750 0.250 0.500 As
0.250 0.750 0.500 As
0.000 0.000 0.000 Te
```

=====

Model Q:
Density functional theory data (PBE) for an optimized crystal structure of Ni2TeAs2.

Summary:
Total magnetization ... 0.000 μB/atom

```
Ni2TeAs2
1.0
-2.086 2.086 5.071
2.086 -2.086 5.071
2.086 2.086 -5.071
Ni Te As
2 1 2
direct
0.250 0.750 0.500 Ni
0.750 0.250 0.500 Ni
0.000 0.000 0.000 Te
0.632 0.632 0.000 As
0.368 0.368 0.000 As
```

=====

Relative energies, in eV/atom, with the most stable structure set to zero: model P 0.000; model Q 0.028.

=====

Model P:
Density functional theory data (PBE) for an optimized crystal structure of ThNi4As2.

Summary:
Total magnetization ... 0.000 μB/atom

```
ThNi4As2
1.0
-2.381 -2.707 1.878
-1.962 -2.828 -2.164
4.376 -6.452 0.647
Th Ni As
1 4 2
direct
0.000 0.000 0.000 Th
0.433 0.433 0.702 Ni
0.141 0.141 0.578 Ni
0.567 0.567 0.298 Ni
0.859 0.859 0.422 Ni
0.246 0.246 0.263 As
0.754 0.754 0.737 As
```

=====

Model Q:
Density functional theory data (PBE) for an optimized crystal structure of ThNi4As2.

Summary:
Total magnetization ... 0.000 μB/atom

```
ThNi4As2
1.0
-3.655 0.806 0.864
-1.825 -7.075 -1.123
1.356 -1.479 7.115
Th Ni As
2 8 4
direct
0.500 0.000 0.000 Th
0.000 0.500 0.500 Th
0.000 0.090 0.348 Ni
0.000 0.910 0.652 Ni
0.500 0.152 0.590 Ni
0.500 0.848 0.410 Ni
0.500 0.410 0.848 Ni
0.500 0.590 0.152 Ni
0.000 0.348 0.090 Ni
0.000 0.652 0.910 Ni
0.000 0.218 0.782 As
0.000 0.782 0.218 As
0.500 0.718 0.718 As
0.500 0.282 0.282 As
```

=====

Relative energies, in eV/atom, with the most stable structure set to zero: model P 0.036; model Q 0.000.